w) Material: AcPmRhPb
Method: DFT, PBE
State: optimized geometry

It has space group P4/nmm (No. 129, origin choice 2), with a = 4.855 Å, b = 4.855 Å, c = 10.541 Å, α = 90.00°, β = 90.00° and γ = 90.00°. The inequivalent atoms are Ac at (0.250, 0.250, 0.216), Pm at (0.250, 0.750, 0.500), Rh at (0.250, 0.250, 0.648) and Pb at (0.250, 0.250, 0.904).

The calculation puts the size of the total moment at 0.000 μB per atom.

***

x) Material: AcPmRhPb
Method: DFT, PBE
State: optimized geometry

It has space group F-43m (No. 216), with a = 7.709 Å, b = 7.709 Å, c = 7.709 Å, α = 90.00°, β = 90.00° and γ = 90.00°. The inequivalent atoms are Ac at (0.000, 0.000, 0.000), Pm at (0.000, 0.000, 0.500), Rh at (0.250, 0.250, 0.750) and Pb at (0.250, 0.250, 0.250).

The calculation puts the size of the total moment at 0.000 μB per atom.

***

Which structure is most stable? w), by 54 meV/atom over the runner-up.